This record from Alexandria describes a geometry-optimized ZrWCl3 structure. The functional is PBE.

Results
- D(E_F): 2.78 states/eV/f.u.
- Energy above the most stable polymorph in this dataset: 0 meV per atom
- Formation energy (no corrections): 0.34 eV/atom
- Total moment: 5.402 Bohr magnetons per cell
- VASP energy: -5.07 eV/atom

Geometry as POSCAR:
```
ZrWCl3
1.0
5.088 0.000 0.000
0.000 5.088 0.000
0.000 0.000 5.088
Zr W Cl
1 1 3
Cartesian
0.000 0.000 0.000
2.544 2.544 2.544
0.000 0.000 2.544
0.000 2.544 0.000
2.544 0.000 0.000
```

This record from Alexandria describes a geometry-optimized Zr2WCl structure. The functional is PBE.

Results
- D(E_F): 4.25 states/eV/f.u.
- Energy above the most stable polymorph in this dataset: 803 meV per atom
- Formation energy (no corrections): 0.36 eV/atom
- Total moment: 0.000 Bohr magnetons per cell
- VASP energy: -7.61 eV/atom

Geometry as POSCAR:
```
Zr2WCl
1.0
0.000 3.390 3.390
3.390 0.000 3.390
3.390 3.390 0.000
Zr W Cl
2 1 1
Cartesian
1.695 1.695 1.695
5.086 5.086 5.086
0.000 0.000 0.000
3.390 3.390 3.390
```

This record from Alexandria describes a geometry-optimized Zr2WCl structure. The functional is PBE.

Results
- D(E_F): 3.95 states/eV/f.u.
- Energy above the most stable polymorph in this dataset: 897 meV per atom
- Formation energy (no corrections): 0.46 eV/atom
- Total moment: 0.000 Bohr magnetons per cell
- VASP energy: -7.52 eV/atom

Geometry as POSCAR:
```
Zr2WCl
1.0
3.470 0.000 0.000
0.000 4.250 0.000
0.000 0.000 5.296
Zr W Cl
2 1 1
Cartesian
0.000 0.000 0.000
1.735 0.000 2.648
0.000 2.125 2.648
1.735 2.125 0.000
```

This record from Alexandria describes a geometry-optimized Zr2WCl structure. The functional is PBE.

Results
- D(E_F): 4.69 states/eV/f.u.
- Energy above the most stable polymorph in this dataset: 536 meV per atom
- Formation energy (no corrections): 0.10 eV/atom
- Total moment: 0.000 Bohr magnetons per cell
- VASP energy: -7.88 eV/atom

Geometry as POSCAR:
```
Zr2WCl
1.0
1.692 -2.513 0.000
1.692 2.513 0.000
0.000 0.000 10.479
Zr W Cl
2 1 1
Cartesian
0.000 0.000 0.000
1.692 0.000 2.641
0.000 0.000 4.777
1.692 0.000 8.524
```

formation energy (no corrections) of number 1 (ZrWCl3)? 0.34 eV/atom